Density functional theory data (PBE-GGA) for KAsBr2 after structural relaxation.

Properties
As for the formation energy (no corrections): -0.4998 eV/atom.

```
KAsBr2
1.0
6.072 0.000 0.000
0.000 6.072 0.000
0.000 0.000 17.021
K As Br
4 4 8
direct
0.000 0.000 0.000 K
0.000 0.500 0.250 K
0.500 0.000 0.750 K
0.500 0.500 0.500 K
0.000 0.000 0.500 As
0.000 0.500 0.750 As
0.500 0.000 0.250 As
0.500 0.500 0.000 As
0.162 0.250 0.625 Br
0.250 0.662 0.875 Br
0.250 0.838 0.375 Br
0.338 0.250 0.125 Br
0.662 0.750 0.125 Br
0.750 0.162 0.375 Br
0.750 0.338 0.875 Br
0.838 0.750 0.625 Br
```

Density functional theory data (PBE-GGA) for KAsBr2 after structural relaxation.

Properties
As for the formation energy (no corrections): -0.6703 eV/atom.

```
KAsBr2
1.0
3.917 0.000 0.000
0.000 5.563 0.000
0.000 0.000 5.562
K As Br
1 1 2
direct
0.000 0.000 0.000 K
0.500 0.500 0.501 As
0.499 0.000 0.501 Br
0.501 0.500 0.001 Br
```

Density functional theory data (PBE-GGA) for K2AsBr after structural relaxation.

Properties
As for the formation energy (no corrections): -0.5590 eV/atom.

```
K2AsBr
1.0
4.700 0.000 0.000
0.000 4.700 0.000
0.000 0.000 13.921
K As Br
4 2 2
direct
0.000 0.000 0.000 K
0.000 0.500 0.250 K
0.500 0.000 0.750 K
0.500 0.500 0.500 K
0.000 0.500 0.750 As
0.500 0.000 0.250 As
0.000 0.000 0.500 Br
0.500 0.500 0.000 Br
```

Density functional theory data (PBE-GGA) for K8As2Br after structural relaxation.

Properties
As for the formation energy (no corrections): -0.5183 eV/atom.

```
K8As2Br
1.0
10.635 -2.668 0.000
10.635 2.668 0.000
-1.416 0.000 8.703
K As Br
8 2 1
direct
0.040 0.040 0.299 K
0.216 0.216 0.844 K
0.318 0.318 0.525 K
0.387 0.387 0.970 K
0.613 0.613 0.030 K
0.682 0.682 0.475 K
0.784 0.784 0.156 K
0.960 0.960 0.701 K
0.189 0.189 0.222 As
0.811 0.811 0.778 As
0.500 0.500 0.500 Br
```

Density functional theory data (PBE-GGA) for KAsBr2 after structural relaxation.

Properties
As for the formation energy (no corrections): -0.4072 eV/atom.

```
KAsBr2
1.0
5.359 0.000 0.000
0.000 5.359 0.000
0.000 0.000 3.716
K As Br
1 1 2
direct
0.000 0.000 0.000 K
0.500 0.500 0.000 As
0.000 0.500 0.500 Br
0.500 0.000 0.500 Br
```

Density functional theory data (PBE-GGA) for KAs2Br after structural relaxation.

Properties
As for the formation energy (no corrections): -0.5350 eV/atom.

```
KAs2Br
1.0
14.746 0.000 0.000
0.000 3.714 0.000
-1.533 0.000 4.876
K As Br
2 4 2
direct
0.000 0.000 0.000 K
0.500 0.500 0.000 K
0.234 0.500 0.837 As
0.266 0.000 0.163 As
0.734 0.000 0.837 As
0.766 0.500 0.163 As
0.000 0.500 0.500 Br
0.500 0.000 0.500 Br
```

Density functional theory data (PBE-GGA) for KAsBr5 after structural relaxation.

Properties
As for the formation energy (no corrections): -0.6218 eV/atom.

```
KAsBr5
1.0
6.955 -4.474 0.000
6.955 4.474 0.000
-5.722 0.000 8.667
K As Br
2 2 10
direct
0.042 0.958 0.750 K
0.958 0.042 0.250 K
0.500 0.500 0.000 As
0.500 0.500 0.500 As
0.151 0.694 0.982 Br
0.199 0.389 0.320 Br
0.306 0.849 0.518 Br
0.389 0.199 0.820 Br
0.418 0.582 0.750 Br
0.582 0.418 0.250 Br
0.611 0.801 0.180 Br
0.694 0.151 0.482 Br
0.801 0.611 0.680 Br
0.849 0.306 0.018 Br
```

Density functional theory data (PBE-GGA) for KAsBr4 after structural relaxation.

Properties
As for the formation energy (no corrections): -0.8582 eV/atom.

```
KAsBr4
1.0
12.642 0.000 0.000
0.000 4.930 0.000
-2.050 0.000 7.740
K As Br
2 2 8
direct
0.000 0.000 0.000 K
0.500 0.500 0.000 K
0.000 0.436 0.500 As
0.500 0.936 0.500 As
0.115 0.497 0.827 Br
0.129 0.120 0.434 Br
0.371 0.620 0.566 Br
0.385 0.997 0.173 Br
0.615 0.997 0.827 Br
0.629 0.620 0.434 Br
0.871 0.120 0.566 Br
0.885 0.497 0.173 Br
```

Density functional theory data (PBE-GGA) for KAsBr2 after structural relaxation.

Properties
As for the formation energy (no corrections): -0.5496 eV/atom.

```
KAsBr2
1.0
7.949 0.000 0.000
0.000 5.386 0.000
-2.266 0.000 6.019
K As Br
2 2 4
direct
0.000 0.000 0.000 K
0.500 0.500 0.000 K
0.000 0.500 0.500 As
0.500 0.000 0.500 As
0.223 0.500 0.286 Br
0.277 0.000 0.714 Br
0.723 0.000 0.286 Br
0.777 0.500 0.714 Br
```

Density functional theory data (PBE-GGA) for KAs2Br after structural relaxation.

Properties
As for the formation energy (no corrections): 0.4671 eV/atom.

```
KAs2Br
1.0
3.491 0.000 0.000
-1.746 3.024 0.000
0.000 0.000 29.693
K As Br
3 6 3
direct
0.000 0.000 0.000 K
0.333 0.667 0.667 K
0.667 0.333 0.333 K
0.000 0.000 0.239 As
0.000 0.000 0.761 As
0.333 0.667 0.428 As
0.333 0.667 0.906 As
0.667 0.333 0.094 As
0.667 0.333 0.572 As
0.000 0.000 0.500 Br
0.333 0.667 0.167 Br
0.667 0.333 0.833 Br
```

Density functional theory data (PBE-GGA) for KAsBr2 after structural relaxation.

Properties
As for the formation energy (no corrections): -0.5310 eV/atom.

```
KAsBr2
1.0
4.047 0.000 0.000
-2.024 3.505 0.000
0.000 0.000 28.647
K As Br
3 3 6
direct
0.000 0.000 0.000 K
0.333 0.667 0.667 K
0.667 0.333 0.333 K
0.000 0.000 0.500 As
0.333 0.667 0.167 As
0.667 0.333 0.833 As
0.000 0.000 0.409 Br
0.000 0.000 0.591 Br
0.333 0.667 0.076 Br
0.333 0.667 0.257 Br
0.667 0.333 0.743 Br
0.667 0.333 0.924 Br
```

Density functional theory data (PBE-GGA) for KAs2Br after structural relaxation.

Properties
As for the formation energy (no corrections): 0.0035 eV/atom.

```
KAs2Br
1.0
5.234 0.000 0.000
0.000 5.234 0.000
0.000 0.000 7.358
K As Br
2 4 2
direct
0.000 0.000 0.000 K
0.500 0.500 0.500 K
0.000 0.000 0.500 As
0.000 0.500 0.750 As
0.500 0.000 0.250 As
0.500 0.500 0.000 As
0.000 0.500 0.250 Br
0.500 0.000 0.750 Br
```

Number 1: electronic total energy -2.77 eV/atom, magnetic moment 0.000 μB per atom. Number 2: electronic total energy -2.94 eV/atom, magnetic moment 0.000 μB per atom. Number 3: electronic total energy -2.69 eV/atom, magnetic moment 0.500 μB per atom. Number 4: electronic total energy -2.31 eV/atom, magnetic moment 0.000 μB per atom. Number 5: electronic total energy -2.68 eV/atom, magnetic moment 0.000 μB per atom. Number 6: electronic total energy -3.55 eV/atom, magnetic moment 0.000 μB per atom. Number 7: electronic total energy -2.64 eV/atom, magnetic moment 0.000 μB per atom. Number 8: electronic total energy -2.93 eV/atom, magnetic moment 0.000 μB per atom. Number 9: electronic total energy -2.82 eV/atom, magnetic moment 0.000 μB per atom. Number 10: electronic total energy -2.55 eV/atom, magnetic moment 0.000 μB per atom. Number 11: electronic total energy -2.80 eV/atom, magnetic moment 0.000 μB per atom. Number 12: electronic total energy -3.01 eV/atom, magnetic moment 0.000 μB per atom.